# 1
Entry from Alexandria: a relaxed Mg2In3Hg6 crystal (PBE-GGA).

abc: 4.472 4.472 29.427
angles: 90.00 90.00 90.00
Space group I4/mmm (No. 139)
Unique sites:
1 Mg 0.000 0.000 0.138 x4
2 In 0.000 0.000 0.336 x4
3 In 0.000 0.000 0.500 x2
4 Hg 0.000 0.000 0.234 x4
5 Hg 0.000 0.500 0.072 x8

* energy above the lowest structure with this stoichiometry: 47 meV per atom
* DFT formation energy: 0.0084 eV/atom

***

# 2
Entry from Alexandria: a relaxed Rb2SiMo crystal (PBE-GGA).

abc: 13.942 13.942 4.787
angles: 90.00 90.00 90.00
Space group I-42d (No. 122)
Unique sites:
1 Rb 0.002 0.250 0.125 x8
2 Si 0.000 0.000 0.500 x4
3 Mo 0.000 0.000 0.000 x4

* ΔE_f (raw): 0.92 eV/atom

***

# 3
Entry from Alexandria: a relaxed Ta3PbS6 crystal (PBE-GGA).

abc: 5.8179 5.8179 15.0458
angles: 90.00 90.00 120.00
Space group P6_3/mcm (No. 193)
Unique sites:
1 Ta 0.0000 0.0000 0.2500 x2
2 Ta 0.3333 0.6667 0.2500 x4
3 Pb 0.0000 0.0000 0.0000 x2
4 S 0.0000 0.3363 0.1465 x12

* ΔE_f (raw): -1.05 eV/atom
* energy above the lowest structure with this stoichiometry: 0 meV per atom

***

# 4
Entry from Alexandria: a relaxed LaReBr2 crystal (PBE-GGA).

abc: 4.540 3.492 7.784
angles: 90.00 106.70 90.00
Space group Pm (No. 6)
Unique sites:
1 La 0.000 0.000 0.000 x1
2 Re 0.433 0.500 0.864 x1
3 Br 0.312 0.000 0.618 x1
4 Br 0.603 0.500 0.210 x1

* ΔE_f (raw): -0.27 eV/atom
* energy above the lowest structure with this stoichiometry: 0 meV per atom

***

Number 1: final energy -26.2 eV for the cell shown. Number 2: final energy -58.0 eV for the cell shown. Number 3: final energy -149.1 eV for the cell shown. Number 4: final energy -21.8 eV for the cell shown.